Computed, not measured: a relaxed structure of Sm2YTm7 at the PBE-GGA level of DFT.

Results
E_form (kJ/mol of formula units): 25
N(E_F) (states/eV/cell): 14.23
Energy (eV/cell): -46.9
Polymorph energy (0 for the lowest one) (meV/atom): 0
Total magnetization (μB/cell): 0.00

```
data_Sm2YTm7
_cell_length_a 6.0986
_cell_length_b 6.1040
_cell_length_c 9.3215
_cell_angle_alpha 102.57
_cell_angle_beta 109.08
_cell_angle_gamma 99.54
_space_group_name_H-M_alt 'P 1'
_space_group_IT_number 1
_space_group_name_Hall 'P 1'
loop_
_atom_site_label
_atom_site_type_symbol
_atom_site_fract_x
_atom_site_fract_y
_atom_site_fract_z
Sm1 Sm 0.1002 0.4989 0.1996
Sm2 Sm 0.8998 0.5011 0.8004
Y1 Y 0.5000 0.0000 0.5000
Tm1 Tm 0.1012 0.0010 0.7007
Tm2 Tm 0.2979 0.4997 0.5995
Tm3 Tm 0.3012 0.0013 0.0998
Tm4 Tm 0.5000 0.5000 0.0000
Tm5 Tm 0.6988 0.9987 0.9002
Tm6 Tm 0.7021 0.5003 0.4005
Tm7 Tm 0.8988 0.9990 0.2993
```

Computed, not measured: a relaxed structure of Sm7Y12Tm at the PBE-GGA level of DFT.

Results
E_form (kJ/mol of formula units): 459
N(E_F) (states/eV/cell): 38.19
Energy (eV/cell): -110.3
Polymorph energy (0 for the lowest one) (meV/atom): 0
Total magnetization (μB/cell): 0.00

```
data_Sm7Y12Tm
_cell_length_a 8.8123
_cell_length_b 8.8123
_cell_length_c 8.8123
_cell_angle_alpha 85.96
_cell_angle_beta 85.96
_cell_angle_gamma 85.96
_space_group_name_H-M_alt 'P 1'
_space_group_IT_number 1
_space_group_name_Hall 'P 1'
loop_
_atom_site_label
_atom_site_type_symbol
_atom_site_fract_x
_atom_site_fract_y
_atom_site_fract_z
Sm1 Sm 0.0000 0.0000 0.0000
Sm2 Sm 0.1023 0.4229 0.3475
Sm3 Sm 0.3475 0.1023 0.4229
Sm4 Sm 0.4229 0.3475 0.1023
Sm5 Sm 0.5771 0.6525 0.8977
Sm6 Sm 0.6525 0.8977 0.5771
Sm7 Sm 0.8977 0.5771 0.6525
Y1 Y 0.0024 0.8848 0.3637
Y2 Y 0.1152 0.6363 0.9976
Y3 Y 0.2300 0.3545 0.7522
Y4 Y 0.2478 0.7700 0.6455
Y5 Y 0.3545 0.7522 0.2300
Y6 Y 0.3637 0.0024 0.8848
Y7 Y 0.6363 0.9976 0.1152
Y8 Y 0.6455 0.2478 0.7700
Y9 Y 0.7522 0.2300 0.3545
Y10 Y 0.7700 0.6455 0.2478
Y11 Y 0.8848 0.3637 0.0024
Y12 Y 0.9976 0.1152 0.6363
Tm1 Tm 0.5000 0.5000 0.5000
```

Computed, not measured: a relaxed structure of SmYTm2 at the PBE-GGA level of DFT.

Results
E_form (kJ/mol of formula units): 10
N(E_F) (states/eV/cell): 5.74
Energy (eV/cell): -20.0
Polymorph energy (0 for the lowest one) (meV/atom): 18
Total magnetization (μB/cell): 0.00

```
data_SmYTm2
_cell_length_a 3.5479
_cell_length_b 3.5479
_cell_length_c 10.0139
_cell_angle_alpha 90.00
_cell_angle_beta 90.00
_cell_angle_gamma 90.00
_space_group_name_H-M_alt 'P 1'
_space_group_IT_number 1
_space_group_name_Hall 'P 1'
loop_
_atom_site_label
_atom_site_type_symbol
_atom_site_fract_x
_atom_site_fract_y
_atom_site_fract_z
Sm1 Sm 0.0000 0.0000 0.0000
Y1 Y 0.0000 0.0000 0.5000
Tm1 Tm 0.5000 0.5000 0.2508
Tm2 Tm 0.5000 0.5000 0.7492
```

Computed, not measured: a relaxed structure of Sm6YTm12 at the PBE-GGA level of DFT.

Results
E_form (kJ/mol of formula units): 405
N(E_F) (states/eV/cell): 31.93
Energy (eV/cell): -84.2
Polymorph energy (0 for the lowest one) (meV/atom): 94
Total magnetization (μB/cell): 0.00

```
data_Sm6YTm12
_cell_length_a 8.6407
_cell_length_b 8.6407
_cell_length_c 8.6407
_cell_angle_alpha 98.63
_cell_angle_beta 98.63
_cell_angle_gamma 98.63
_space_group_name_H-M_alt 'P 1'
_space_group_IT_number 1
_space_group_name_Hall 'P 1'
loop_
_atom_site_label
_atom_site_type_symbol
_atom_site_fract_x
_atom_site_fract_y
_atom_site_fract_z
Sm1 Sm 0.1554 0.5990 0.5990
Sm2 Sm 0.4010 0.4010 0.8446
Sm3 Sm 0.4010 0.8446 0.4010
Sm4 Sm 0.5990 0.1554 0.5990
Sm5 Sm 0.5990 0.5990 0.1554
Sm6 Sm 0.8446 0.4010 0.4010
Y1 Y 0.5000 0.5000 0.5000
Tm1 Tm 0.0000 0.2568 0.7432
Tm2 Tm 0.0000 0.7432 0.2568
Tm3 Tm 0.1449 0.1449 0.4180
Tm4 Tm 0.1449 0.4180 0.1449
Tm5 Tm 0.2568 0.0000 0.7432
Tm6 Tm 0.2568 0.7432 0.0000
Tm7 Tm 0.4180 0.1449 0.1449
Tm8 Tm 0.5820 0.8551 0.8551
Tm9 Tm 0.7432 0.0000 0.2568
Tm10 Tm 0.7432 0.2568 0.0000
Tm11 Tm 0.8551 0.5820 0.8551
Tm12 Tm 0.8551 0.8551 0.5820
```

Computed, not measured: a relaxed structure of Sm5Y4Tm2 at the PBE-GGA level of DFT.

Results
E_form (kJ/mol of formula units): 179
N(E_F) (states/eV/cell): 17.27
Energy (eV/cell): -56.5
Polymorph energy (0 for the lowest one) (meV/atom): 0
Total magnetization (μB/cell): 0.00

```
data_Sm5Y4Tm2
_cell_length_a 6.8988
_cell_length_b 6.8988
_cell_length_c 9.7543
_cell_angle_alpha 111.04
_cell_angle_beta 111.04
_cell_angle_gamma 60.82
_space_group_name_H-M_alt 'P 1'
_space_group_IT_number 1
_space_group_name_Hall 'P 1'
loop_
_atom_site_label
_atom_site_type_symbol
_atom_site_fract_x
_atom_site_fract_y
_atom_site_fract_z
Sm1 Sm 0.0000 0.0000 0.0000
Sm2 Sm 0.1611 0.6318 0.6798
Sm3 Sm 0.3682 0.8389 0.3202
Sm4 Sm 0.6318 0.1611 0.6798
Sm5 Sm 0.8389 0.3682 0.3202
Y1 Y 0.3456 0.3456 0.9964
Y2 Y 0.3530 0.3530 0.3461
Y3 Y 0.6470 0.6470 0.6539
Y4 Y 0.6544 0.6544 0.0036
Tm1 Tm 0.1306 0.1306 0.6459
Tm2 Tm 0.8694 0.8694 0.3541
```

Computed, not measured: a relaxed structure of Sm10Y4Tm at the PBE-GGA level of DFT.

Results
E_form (kJ/mol of formula units): 1057
N(E_F) (states/eV/cell): 20.84
Energy (eV/cell): -66.6
Total magnetization (μB/cell): 0.00

```
data_Sm10Y4Tm
_cell_length_a 9.5306
_cell_length_b 9.5306
_cell_length_c 9.5306
_cell_angle_alpha 99.57
_cell_angle_beta 99.57
_cell_angle_gamma 131.88
_space_group_name_H-M_alt 'P 1'
_space_group_IT_number 1
_space_group_name_Hall 'P 1'
loop_
_atom_site_label
_atom_site_type_symbol
_atom_site_fract_x
_atom_site_fract_y
_atom_site_fract_z
Sm1 Sm 0.0496 0.1495 0.7021
Sm2 Sm 0.1495 0.4473 0.0999
Sm3 Sm 0.2500 0.7500 0.5000
Sm4 Sm 0.3474 0.0496 0.9001
Sm5 Sm 0.4473 0.3474 0.2979
Sm6 Sm 0.5527 0.6526 0.7021
Sm7 Sm 0.6526 0.9504 0.0999
Sm8 Sm 0.7500 0.2500 0.5000
Sm9 Sm 0.8505 0.5527 0.9001
Sm10 Sm 0.9504 0.8505 0.2979
Y1 Y 0.2007 0.6005 0.8013
Y2 Y 0.3995 0.2007 0.6002
Y3 Y 0.6005 0.7993 0.3998
Y4 Y 0.7993 0.3995 0.1987
Tm1 Tm 0.0000 0.0000 0.0000
```

Computed, not measured: a relaxed structure of SmY6Tm12 at the PBE-GGA level of DFT.

Results
E_form (kJ/mol of formula units): 353
N(E_F) (states/eV/cell): 41.39
Energy (eV/cell): -93.5
Polymorph energy (0 for the lowest one) (meV/atom): 0
Total magnetization (μB/cell): 0.01

```
data_SmY6Tm12
_cell_length_a 8.4789
_cell_length_b 8.4789
_cell_length_c 8.4789
_cell_angle_alpha 92.41
_cell_angle_beta 92.41
_cell_angle_gamma 92.41
_space_group_name_H-M_alt 'P 1'
_space_group_IT_number 1
_space_group_name_Hall 'P 1'
loop_
_atom_site_label
_atom_site_type_symbol
_atom_site_fract_x
_atom_site_fract_y
_atom_site_fract_z
Sm1 Sm 0.0000 0.0000 0.0000
Y1 Y 0.1252 0.7405 0.2769
Y2 Y 0.2595 0.7231 0.8748
Y3 Y 0.2769 0.1252 0.7405
Y4 Y 0.7231 0.8748 0.2595
Y5 Y 0.7405 0.2769 0.1252
Y6 Y 0.8748 0.2595 0.7231
Tm1 Tm 0.0660 0.1417 0.3773
Tm2 Tm 0.1417 0.3773 0.0660
Tm3 Tm 0.2106 0.4720 0.5319
Tm4 Tm 0.3773 0.0660 0.1417
Tm5 Tm 0.4681 0.7894 0.5280
Tm6 Tm 0.4720 0.5319 0.2106
Tm7 Tm 0.5280 0.4681 0.7894
Tm8 Tm 0.5319 0.2106 0.4720
Tm9 Tm 0.6227 0.9340 0.8583
Tm10 Tm 0.7894 0.5280 0.4681
Tm11 Tm 0.8583 0.6227 0.9340
Tm12 Tm 0.9340 0.8583 0.6227
```

Computed, not measured: a relaxed structure of Sm3Y3Tm8 at the PBE-GGA level of DFT.

Results
E_form (kJ/mol of formula units): 158
N(E_F) (states/eV/cell): 24.08
Energy (eV/cell): -67.7
Total magnetization (μB/cell): 0.00

```
data_Sm3Y3Tm8
_cell_length_a 9.5865
_cell_length_b 9.5865
_cell_length_c 9.5865
_cell_angle_alpha 146.12
_cell_angle_beta 111.21
_cell_angle_gamma 78.93
_space_group_name_H-M_alt 'P 1'
_space_group_IT_number 1
_space_group_name_Hall 'P 1'
loop_
_atom_site_label
_atom_site_type_symbol
_atom_site_fract_x
_atom_site_fract_y
_atom_site_fract_z
Sm1 Sm 0.0000 0.0000 0.0000
Sm2 Sm 0.1840 0.6840 0.5000
Sm3 Sm 0.8160 0.3160 0.5000
Y1 Y 0.2031 0.5000 0.7031
Y2 Y 0.5000 0.5000 0.0000
Y3 Y 0.7969 0.5000 0.2969
Tm1 Tm 0.1176 0.2771 0.8405
Tm2 Tm 0.2408 0.8965 0.3443
Tm3 Tm 0.4366 0.2771 0.1595
Tm4 Tm 0.4479 0.1035 0.3443
Tm5 Tm 0.5521 0.8965 0.6557
Tm6 Tm 0.5634 0.7229 0.8405
Tm7 Tm 0.7592 0.1035 0.6557
Tm8 Tm 0.8824 0.7229 0.1595
```

Computed, not measured: a relaxed structure of Sm7Y4Tm at the PBE-GGA level of DFT.

Results
E_form (kJ/mol of formula units): 307
N(E_F) (states/eV/cell): 18.11
Energy (eV/cell): -60.2
Polymorph energy (0 for the lowest one) (meV/atom): 263
Total magnetization (μB/cell): 0.00

```
data_Sm7Y4Tm
_cell_length_a 6.7323
_cell_length_b 6.7323
_cell_length_c 12.6999
_cell_angle_alpha 114.45
_cell_angle_beta 114.45
_cell_angle_gamma 52.96
_space_group_name_H-M_alt 'P 1'
_space_group_IT_number 1
_space_group_name_Hall 'P 1'
loop_
_atom_site_label
_atom_site_type_symbol
_atom_site_fract_x
_atom_site_fract_y
_atom_site_fract_z
Sm1 Sm 0.0000 0.0000 0.0000
Sm2 Sm 0.2121 0.2121 0.9229
Sm3 Sm 0.2490 0.2490 0.6847
Sm4 Sm 0.3691 0.3691 0.4995
Sm5 Sm 0.6309 0.6309 0.5005
Sm6 Sm 0.7510 0.7510 0.3153
Sm7 Sm 0.7879 0.7879 0.0771
Y1 Y 0.0603 0.0603 0.3234
Y2 Y 0.3658 0.3658 0.2233
Y3 Y 0.6342 0.6342 0.7767
Y4 Y 0.9397 0.9397 0.6766
Tm1 Tm 0.5000 0.5000 0.0000
```

Computed, not measured: a relaxed structure of Sm3YTm4 at the PBE-GGA level of DFT.

Results
E_form (kJ/mol of formula units): 11
N(E_F) (states/eV/cell): 28.17
Energy (eV/cell): -76.8
Polymorph energy (0 for the lowest one) (meV/atom): 0
Total magnetization (μB/cell): 0.00

```
data_Sm3YTm4
_cell_length_a 11.2863
_cell_length_b 7.2684
_cell_length_c 6.2676
_cell_angle_alpha 90.00
_cell_angle_beta 90.00
_cell_angle_gamma 90.00
_space_group_name_H-M_alt 'P 1'
_space_group_IT_number 1
_space_group_name_Hall 'P 1'
loop_
_atom_site_label
_atom_site_type_symbol
_atom_site_fract_x
_atom_site_fract_y
_atom_site_fract_z
Sm1 Sm 0.0000 0.1286 0.0000
Sm2 Sm 0.2493 0.8723 0.8350
Sm3 Sm 0.2507 0.1277 0.3350
Sm4 Sm 0.5000 0.8714 0.5000
Sm5 Sm 0.7493 0.1277 0.3350
Sm6 Sm 0.7507 0.8723 0.8350
Y1 Y 0.0000 0.8713 0.4978
Y2 Y 0.5000 0.1287 0.9978
Tm1 Tm 0.0000 0.3778 0.4996
Tm2 Tm 0.0000 0.6207 0.9998
Tm3 Tm 0.2492 0.6211 0.3320
Tm4 Tm 0.2508 0.3789 0.8320
Tm5 Tm 0.5000 0.3793 0.4998
Tm6 Tm 0.5000 0.6222 0.9996
Tm7 Tm 0.7492 0.3789 0.8320
Tm8 Tm 0.7508 0.6211 0.3320
```

Computed, not measured: a relaxed structure of Sm2Y3Tm7 at the PBE-GGA level of DFT.

Results
E_form (kJ/mol of formula units): 126
N(E_F) (states/eV/cell): 18.06
Energy (eV/cell): -58.8
Polymorph energy (0 for the lowest one) (meV/atom): 24
Total magnetization (μB/cell): 0.00

```
data_Sm2Y3Tm7
_cell_length_a 18.8768
_cell_length_b 18.8768
_cell_length_c 3.5970
_cell_angle_alpha 90.00
_cell_angle_beta 90.00
_cell_angle_gamma 162.82
_space_group_name_H-M_alt 'P 1'
_space_group_IT_number 1
_space_group_name_Hall 'P 1'
loop_
_atom_site_label
_atom_site_type_symbol
_atom_site_fract_x
_atom_site_fract_y
_atom_site_fract_z
Sm1 Sm 0.1466 0.8534 0.0000
Sm2 Sm 0.8534 0.1466 0.0000
Y1 Y 0.3146 0.6854 0.5000
Y2 Y 0.5000 0.5000 0.5000
Y3 Y 0.6854 0.3146 0.5000
Tm1 Tm 0.0000 0.0000 0.0000
Tm2 Tm 0.0708 0.9292 0.5000
Tm3 Tm 0.2304 0.7696 0.0000
Tm4 Tm 0.4105 0.5895 0.0000
Tm5 Tm 0.5895 0.4105 0.0000
Tm6 Tm 0.7696 0.2304 0.0000
Tm7 Tm 0.9292 0.0708 0.5000
```

Computed, not measured: a relaxed structure of Sm5Y12Tm2 at the PBE-GGA level of DFT.

Results
E_form (kJ/mol of formula units): 39
N(E_F) (states/eV/cell): 27.32
Energy (eV/cell): -109.7
Polymorph energy (0 for the lowest one) (meV/atom): 0
Total magnetization (μB/cell): 0.00

```
data_Sm5Y12Tm2
_cell_length_a 6.1940
_cell_length_b 9.4710
_cell_length_c 11.3011
_cell_angle_alpha 90.06
_cell_angle_beta 100.52
_cell_angle_gamma 109.05
_space_group_name_H-M_alt 'P 1'
_space_group_IT_number 1
_space_group_name_Hall 'P 1'
loop_
_atom_site_label
_atom_site_type_symbol
_atom_site_fract_x
_atom_site_fract_y
_atom_site_fract_z
Sm1 Sm 0.0000 0.0000 0.0000
Sm2 Sm 0.2613 0.8399 0.5262
Sm3 Sm 0.4728 0.3166 0.9476
Sm4 Sm 0.5272 0.6834 0.0524
Sm5 Sm 0.7387 0.1601 0.4738
Y1 Y 0.0533 0.3688 0.1065
Y2 Y 0.1051 0.7355 0.2115
Y3 Y 0.1580 0.1064 0.3168
Y4 Y 0.3180 0.2121 0.6309
Y5 Y 0.3682 0.5786 0.7351
Y6 Y 0.4215 0.9475 0.8418
Y7 Y 0.5785 0.0525 0.1582
Y8 Y 0.6318 0.4214 0.2649
Y9 Y 0.6820 0.7879 0.3691
Y10 Y 0.8420 0.8936 0.6832
Y11 Y 0.8949 0.2645 0.7885
Y12 Y 0.9467 0.6312 0.8935
Tm1 Tm 0.2106 0.4741 0.4222
Tm2 Tm 0.7894 0.5259 0.5778
```